## BaFe2P2O8 (GGA+U)

Data for a relaxed BaFe2P2O8 crystal.

```
BaFe2P2O8
1.0
2.457 1.419 8.003
-2.457 1.419 8.003
0.000 -2.837 8.003
Ba Fe P O
1 2 2 8
Direct
0.000 0.000 0.000
0.169 0.169 0.169
0.831 0.831 0.831
0.426 0.426 0.426
0.574 0.574 0.574
0.152 0.437 0.754
0.246 0.848 0.563
0.362 0.362 0.362
0.437 0.754 0.152
0.563 0.246 0.848
0.638 0.638 0.638
0.754 0.152 0.437
0.848 0.563 0.246
```

Properties
* magnetization: 8.00 Bohr magnetons per cell
* energy relative to the lowest polymorph listed for this composition: 0.1099 eV per atom
* space group: R-3 (148)